DFT (GGA-PBE) results for a geometry-optimized PmSm2DyTh structure.

Properties
- DFT total energy (eV for the cell shown) = -49.29
- space group = P2/c, No. 13

Cell lengths 8.593, 6.445, 6.380 Å; angles 90.00, 97.50, 90.00 degrees
Fractional coordinates of all 10 atoms:
Pm  0.000  0.000  0.000
Pm  0.000  0.000  0.500
Sm  0.314  0.308  0.208
Sm  0.314  0.692  0.708
Sm  0.686  0.308  0.292
Sm  0.686  0.692  0.792
Dy  0.500  0.175  0.750
Dy  0.500  0.825  0.250
Th  0.000  0.450  0.750
Th  0.000  0.550  0.250

DFT (GGA-PBE) results for a geometry-optimized Ta3ZnP structure.

Properties
- DFT total energy (eV for the cell shown) = -39.80
- space group = Pm-3m, No. 221

Cell lengths 4.592, 4.592, 4.592 Å; angles 90.00, 90.00, 90.00 degrees
Fractional coordinates of all 5 atoms:
Ta  0.000  0.000  0.500
Ta  0.000  0.500  0.000
Ta  0.500  0.000  0.000
Zn  0.500  0.500  0.500
P  0.000  0.000  0.000

DFT (GGA-PBE) results for a geometry-optimized TiAl2Ir2 structure.

Properties
- DFT total energy (eV for the cell shown) = -36.74
- space group = Cmmm, No. 65

Cell lengths 9.206, 9.206, 2.964 Å; angles 90.00, 90.00, 162.03 degrees
Fractional coordinates of all 5 atoms:
Ti  0.000  0.000  0.000
Al  0.183  0.817  0.000
Al  0.817  0.183  0.000
Ir  0.403  0.597  0.500
Ir  0.597  0.403  0.500

DFT (GGA-PBE) results for a geometry-optimized Tl5SnS5 structure.

Properties
- space group = C2/m, No. 12
- E_form (uncorrected) (eV per atom) = -0.24

Cell lengths 7.110, 7.110, 8.646 Å; angles 107.94, 107.94, 50.56 degrees
Fractional coordinates of all 11 atoms:
Tl  0.000  0.000  0.000
Tl  0.320  0.320  0.176
Tl  0.343  0.343  0.674
Tl  0.657  0.657  0.326
Tl  0.680  0.680  0.824
Sn  0.000  0.000  0.500
S  0.142  0.142  0.779
S  0.158  0.158  0.373
S  0.500  0.500  0.500
S  0.842  0.842  0.627
S  0.858  0.858  0.221

DFT (GGA-PBE) results for a geometry-optimized AcPmAsCl structure.

Properties
- space group = F-43m, No. 216
- E_form (uncorrected) (eV per atom) = -1.32

Cell lengths 5.266, 5.266, 5.266 Å; angles 60.00, 60.00, 60.00 degrees
Fractional coordinates of all 4 atoms:
Ac  0.000  0.000  0.000
Pm  0.500  0.500  0.500
As  0.750  0.750  0.750
Cl  0.250  0.250  0.250

DFT (GGA-PBE) results for a geometry-optimized Pm2Dy12Zr structure.

Properties
- DFT total energy (eV for the cell shown) = -142.15
- space group = C2/m, No. 12

Cell lengths 6.663, 6.663, 24.000 Å; angles 93.63, 93.63, 116.10 degrees
Fractional coordinates of all 30 atoms:
Pm  0.218  0.218  0.233
Pm  0.281  0.281  0.766
Pm  0.719  0.719  0.234
Pm  0.782  0.782  0.767
Dy  0.015  0.015  0.380
Dy  0.073  0.579  0.435
Dy  0.096  0.096  0.925
Dy  0.102  0.603  0.944
Dy  0.192  0.694  0.173
Dy  0.239  0.742  0.694
Dy  0.258  0.761  0.306
Dy  0.306  0.808  0.827
Dy  0.397  0.898  0.056
Dy  0.406  0.406  0.075
Dy  0.421  0.927  0.565
Dy  0.488  0.488  0.619
Dy  0.512  0.512  0.381
Dy  0.579  0.073  0.435
Dy  0.594  0.594  0.925
Dy  0.603  0.102  0.944
Dy  0.694  0.192  0.173
Dy  0.742  0.239  0.694
Dy  0.761  0.258  0.306
Dy  0.808  0.306  0.827
Dy  0.898  0.397  0.056
Dy  0.904  0.904  0.075
Dy  0.927  0.421  0.565
Dy  0.985  0.985  0.620
Zr  0.268  0.268  0.497
Zr  0.732  0.732  0.503

DFT (GGA-PBE) results for a geometry-optimized V2ReTcH structure.

Properties
- DFT total energy (eV for the cell shown) = -44.39
- space group = P4/mmm, No. 123

Cell lengths 4.185, 4.185, 3.394 Å; angles 90.00, 90.00, 90.00 degrees
Fractional coordinates of all 5 atoms:
V  0.000  0.500  0.000
V  0.500  0.000  0.000
Re  0.000  0.000  0.500
Tc  0.500  0.500  0.500
H  0.000  0.000  0.000

DFT (GGA-PBE) results for a geometry-optimized SiH2Br structure.

Properties
- DFT total energy (eV for the cell shown) = -25.87
- space group = Fd-3m, No. 227

Cell lengths 5.412, 5.412, 5.412 Å; angles 60.00, 60.00, 60.00 degrees
Fractional coordinates of all 8 atoms:
Si  0.125  0.125  0.125
Si  0.875  0.875  0.875
H  0.000  0.000  0.000
H  0.000  0.000  0.500
H  0.000  0.500  0.000
H  0.500  0.000  0.000
Br  0.375  0.375  0.375
Br  0.625  0.625  0.625

DFT (GGA-PBE) results for a geometry-optimized La2AlHg2 structure.

Properties
- DFT total energy (eV for the cell shown) = -14.98
- space group = I4/mmm, No. 139

Cell lengths 9.461, 9.461, 9.461 Å; angles 154.99, 154.99, 35.66 degrees
Fractional coordinates of all 5 atoms:
La  0.096  0.096  0.000
La  0.904  0.904  0.000
Al  0.500  0.500  0.000
Hg  0.250  0.750  0.500
Hg  0.750  0.250  0.500

DFT (GGA-PBE) results for a geometry-optimized AlHSe2 structure.

Properties
- DFT total energy (eV for the cell shown) = -32.51
- space group = Pm, No. 6

Cell lengths 5.611, 6.174, 5.616 Å; angles 90.00, 90.14, 90.00 degrees
Fractional coordinates of all 8 atoms:
Al  0.000  0.250  0.000
Al  0.000  0.750  0.000
H  0.068  0.000  0.553
H  0.460  0.500  0.034
Se  0.251  0.000  0.760
Se  0.264  0.500  0.228
Se  0.774  0.500  0.770
Se  0.795  0.000  0.249

DFT (GGA-PBE) results for a geometry-optimized AcZn2Ag structure.

Properties
- DFT total energy (eV for the cell shown) = -10.45
- space group = R-3m, No. 166

Cell lengths 5.943, 5.943, 5.943 Å; angles 44.93, 44.93, 44.93 degrees
Fractional coordinates of all 4 atoms:
Ac  0.000  0.000  0.000
Zn  0.206  0.206  0.206
Zn  0.794  0.794  0.794
Ag  0.500  0.500  0.500

DFT (GGA-PBE) results for a geometry-optimized Sr3CaCd3 structure.

Properties
- DFT total energy (eV for the cell shown) = -23.18
- space group = C2/m, No. 12

Cell lengths 7.989, 7.989, 7.939 Å; angles 90.00, 90.00, 84.22 degrees
Fractional coordinates of all 14 atoms:
Sr  0.220  0.780  0.000
Sr  0.231  0.769  0.500
Sr  0.270  0.270  0.500
Sr  0.730  0.730  0.500
Sr  0.769  0.231  0.500
Sr  0.780  0.220  0.000
Ca  0.277  0.277  0.000
Ca  0.723  0.723  0.000
Cd  0.000  0.500  0.237
Cd  0.000  0.500  0.763
Cd  0.500  0.000  0.237
Cd  0.500  0.000  0.763
Cd  0.500  0.500  0.243
Cd  0.500  0.500  0.757

DFT (GGA-PBE) results for a geometry-optimized Ag2RhBr5 structure.

Properties
- space group = Cm, No. 8
- E_form (uncorrected) (eV per atom) = -0.28

Cell lengths 7.202, 7.202, 5.196 Å; angles 110.26, 110.26, 81.97 degrees
Fractional coordinates of all 8 atoms:
Ag  0.231  0.769  0.000
Ag  0.769  0.231  0.000
Rh  0.229  0.229  0.546
Br  0.191  0.191  0.004
Br  0.487  0.487  0.801
Br  0.498  0.967  0.547
Br  0.966  0.966  0.287
Br  0.967  0.498  0.547

DFT (GGA-PBE) results for a geometry-optimized Cs2PuClF6 structure.

Properties
- space group = P-3m1, No. 164
- E_form (uncorrected) (eV per atom) = -2.83

Cell lengths 6.259, 6.259, 6.987 Å; angles 90.00, 90.00, 120.00 degrees
Fractional coordinates of all 10 atoms:
Cs  0.333  0.667  0.293
Cs  0.667  0.333  0.707
Pu  0.000  0.000  0.000
Cl  0.000  0.000  0.500
F  0.168  0.336  0.852
F  0.168  0.832  0.852
F  0.336  0.168  0.148
F  0.664  0.832  0.852
F  0.832  0.168  0.148
F  0.832  0.664  0.148

| no. | size of the total moment (μB/cell) | D(E_F) (states/eV per atom) |
| --- | --- | --- |
| 1 | 0.00 | 1.327 |
| 2 | 0.00 | 1.449 |
| 3 | 0.00 | 0.582 |
| 4 | 0.00 | 0.422 |
| 5 | 0.01 | 0.785 |
| 6 | 0.01 | 1.537 |
| 7 | 0.00 | 0.936 |
| 8 | 0.00 | 0.037 |
| 9 | 0.00 | 1.279 |
| 10 | 0.00 | 0.000 |
| 11 | 0.00 | 0.859 |
| 12 | 0.00 | 0.511 |
| 13 | 0.00 | 0.311 |
| 14 | 2.99 | 1.322 |